1.
# SrBi2SeBr, single point on PBEsol structure, DFT meta-GGA SCAN
data_SrBi2SeBr
_chemical_formula_sum 'Sr1 Bi2 Se1 Br1'
_cell_length_a 5.473
_cell_length_b 5.473
_cell_length_c 5.996
_cell_angle_alpha 90.00
_cell_angle_beta 90.00
_cell_angle_gamma 90.00
_symmetry_space_group_name_H-M 'P 1'
_symmetry_Int_Tables_number 1
loop_
_symmetry_equiv_pos_as_xyz
'x,y,z'
loop_
_atom_site_label
_atom_site_type_symbol
_atom_site_fract_x
_atom_site_fract_y
_atom_site_fract_z
_atom_site_occupancy
Sr1 Sr 0.000 0.000 0.500 1
Bi1 Bi 0.000 0.500 0.000 1
Bi2 Bi 0.500 0.000 0.000 1
Se1 Se 0.000 0.000 0.000 1
Br1 Br 0.500 0.500 0.500 1
# Formation energy (no corrections) ... -0.3178 eV/atom
# Mass density ... 6.14 Mg/m³
# Total moment ... 0.00 μB per formula unit

2.
# Cd2SiCl, single point on PBEsol structure, DFT meta-GGA SCAN
data_Cd2SiCl
_chemical_formula_sum 'Cd2 Si1 Cl1'
_cell_length_a 3.090
_cell_length_b 5.076
_cell_length_c 5.076
_cell_angle_alpha 90.00
_cell_angle_beta 90.00
_cell_angle_gamma 90.00
_symmetry_space_group_name_H-M 'P 1'
_symmetry_Int_Tables_number 1
loop_
_symmetry_equiv_pos_as_xyz
'x,y,z'
loop_
_atom_site_label
_atom_site_type_symbol
_atom_site_fract_x
_atom_site_fract_y
_atom_site_fract_z
_atom_site_occupancy
Cl1 Cl 0.500 0.500 0.500 1
Cd1 Cd 0.000 0.000 0.500 1
Cd2 Cd 0.000 0.500 0.000 1
Si1 Si 0.500 0.000 0.000 1
# Formation energy (no corrections) ... 0.0363 eV/atom
# Mass density ... 6.02 Mg/m³
# Total moment ... 0.00 μB per formula unit

3.
# K3BaGa, single point on PBEsol structure, DFT meta-GGA SCAN
data_K3BaGa
_chemical_formula_sum 'K3 Ba1 Ga1'
_cell_length_a 7.578
_cell_length_b 7.578
_cell_length_c 7.578
_cell_angle_alpha 90.00
_cell_angle_beta 90.00
_cell_angle_gamma 90.00
_symmetry_space_group_name_H-M 'P 1'
_symmetry_Int_Tables_number 1
loop_
_symmetry_equiv_pos_as_xyz
'x,y,z'
loop_
_atom_site_label
_atom_site_type_symbol
_atom_site_fract_x
_atom_site_fract_y
_atom_site_fract_z
_atom_site_occupancy
Ga1 Ga 0.500 0.500 0.500 1
K1 K 0.500 0.000 0.000 1
K2 K 0.000 0.500 0.000 1
K3 K 0.000 0.000 0.500 1
Ba1 Ba 0.000 0.000 0.000 1
# Calculated formation energy ... 0.927 eV/atom
# Mass density ... 1.24 Mg/m³
# Total moment ... 2.94 μB per formula unit

4.
# K2YCu, single point on PBEsol structure, DFT meta-GGA SCAN
data_K2YCu
_chemical_formula_sum 'K2 Y1 Cu1'
_cell_length_a 3.649
_cell_length_b 5.281
_cell_length_c 7.224
_cell_angle_alpha 110.77
_cell_angle_beta 103.70
_cell_angle_gamma 92.47
_symmetry_space_group_name_H-M 'P 1'
_symmetry_Int_Tables_number 1
loop_
_symmetry_equiv_pos_as_xyz
'x,y,z'
loop_
_atom_site_label
_atom_site_type_symbol
_atom_site_fract_x
_atom_site_fract_y
_atom_site_fract_z
_atom_site_occupancy
K1 K 0.000 0.000 0.500 1
K2 K 0.500 0.500 0.500 1
Cu1 Cu 0.500 0.000 0.000 1
Y1 Y 0.000 0.500 0.000 1
# Polymorph energy (0 for the lowest one) ... 0.0 meV/atom
# Calculated formation energy ... 0.654 eV/atom
# Mass density ... 3.06 Mg/m³
# Total moment ... 0.00 μB per formula unit

5.
# GaPb3S, single point on PBEsol structure, DFT meta-GGA SCAN
data_GaPb3S
_chemical_formula_sum 'Ga1 Pb3 S1'
_cell_length_a 5.424
_cell_length_b 5.424
_cell_length_c 5.424
_cell_angle_alpha 90.00
_cell_angle_beta 90.00
_cell_angle_gamma 90.00
_symmetry_space_group_name_H-M 'P 1'
_symmetry_Int_Tables_number 1
loop_
_symmetry_equiv_pos_as_xyz
'x,y,z'
loop_
_atom_site_label
_atom_site_type_symbol
_atom_site_fract_x
_atom_site_fract_y
_atom_site_fract_z
_atom_site_occupancy
S1 S 0.000 0.000 0.000 1
Pb1 Pb 0.500 0.000 0.000 1
Pb2 Pb 0.000 0.000 0.500 1
Pb3 Pb 0.000 0.500 0.000 1
Ga1 Ga 0.500 0.500 0.500 1
# Formation energy (no corrections) ... 0.3249 eV/atom
# Mass density ... 7.53 Mg/m³
# Total moment ... 0.00 μB per formula unit

6.
# Cd3Ag, single point on PBEsol structure, DFT meta-GGA SCAN
data_Cd3Ag
_chemical_formula_sum 'Cd3 Ag1'
_cell_length_a 3.071
_cell_length_b 5.105
_cell_length_c 5.105
_cell_angle_alpha 107.22
_cell_angle_beta 90.00
_cell_angle_gamma 90.00
_symmetry_space_group_name_H-M 'P 1'
_symmetry_Int_Tables_number 1
loop_
_symmetry_equiv_pos_as_xyz
'x,y,z'
loop_
_atom_site_label
_atom_site_type_symbol
_atom_site_fract_x
_atom_site_fract_y
_atom_site_fract_z
_atom_site_occupancy
Cd1 Cd 0.500 0.000 0.500 1
Cd2 Cd 0.000 0.500 0.500 1
Cd3 Cd 0.500 0.500 0.000 1
Ag1 Ag 0.000 0.000 0.000 1
# Calculated formation energy ... -0.002 eV/atom
# Mass density ... 9.67 Mg/m³
# Total moment ... 0.00 μB per formula unit